Density functional theory data (PBE-GGA) for a relaxed AlMoPb2 crystal.

Properties
Formation energy   3.49 eV/f.u.
Energy   -4.626 eV/atom
SG   No. 122

```
data_AlMoPb2
_chemical_formula_sum 'Al2 Mo2 Pb4'
_space_group_name_H-M_alt 'P 1'
_space_group_IT_number 1
_space_group_name_Hall 'P 1'
_cell_length_a 6.491
_cell_length_b 6.491
_cell_length_c 6.491
_cell_angle_alpha 101.88
_cell_angle_beta 101.88
_cell_angle_gamma 126.03
loop_
_atom_site_label
_atom_site_fract_x
_atom_site_fract_y
_atom_site_fract_z
Al1 0.000 0.000 0.000
Al2 0.750 0.250 0.500
Mo1 0.250 0.750 0.500
Mo2 0.500 0.500 0.000
Pb1 0.148 0.625 0.023
Pb2 0.375 0.398 0.523
Pb3 0.602 0.125 0.977
Pb4 0.875 0.852 0.477
```

Density functional theory data (PBE-GGA) for a relaxed AlMo2Pb crystal.

Properties
Formation energy   2.32 eV/f.u.
Offset from the most stable computed form   37.9 kJ per mole of atoms
Energy   -6.699 eV/atom
SG   No. 65

```
data_AlMo2Pb
_chemical_formula_sum 'Al1 Mo2 Pb1'
_space_group_name_H-M_alt 'P 1'
_space_group_IT_number 1
_space_group_name_Hall 'P 1'
_cell_length_a 4.512
_cell_length_b 4.512
_cell_length_c 3.514
_cell_angle_alpha 90.00
_cell_angle_beta 90.00
_cell_angle_gamma 98.96
loop_
_atom_site_label
_atom_site_fract_x
_atom_site_fract_y
_atom_site_fract_z
Al1 0.000 0.000 0.000
Mo1 0.000 0.500 0.500
Mo2 0.500 0.000 0.500
Pb1 0.500 0.500 0.000
```

Density functional theory data (PBE-GGA) for a relaxed AlMo2Pb crystal.

Properties
Formation energy   1.59 eV/f.u.
Offset from the most stable computed form   20.4 kJ per mole of atoms
Energy   -6.881 eV/atom
SG   No. 8

```
data_AlMo2Pb
_chemical_formula_sum 'Al1 Mo2 Pb1'
_space_group_name_H-M_alt 'P 1'
_space_group_IT_number 1
_space_group_name_Hall 'P 1'
_cell_length_a 5.177
_cell_length_b 5.177
_cell_length_c 4.793
_cell_angle_alpha 109.69
_cell_angle_beta 109.69
_cell_angle_gamma 37.14
loop_
_atom_site_label
_atom_site_fract_x
_atom_site_fract_y
_atom_site_fract_z
Al1 0.000 0.000 0.000
Mo1 0.461 0.461 0.449
Mo2 0.748 0.748 0.199
Pb1 0.225 0.225 0.683
```

Density functional theory data (PBE-GGA) for a relaxed Al2MoPb crystal.

Properties
Formation energy   1.46 eV/f.u.
Energy   -5.142 eV/atom
SG   No. 139

```
data_Al2MoPb
_chemical_formula_sum 'Al2 Mo1 Pb1'
_space_group_name_H-M_alt 'P 1'
_space_group_IT_number 1
_space_group_name_Hall 'P 1'
_cell_length_a 5.223
_cell_length_b 5.223
_cell_length_c 5.223
_cell_angle_alpha 133.90
_cell_angle_beta 133.90
_cell_angle_gamma 67.24
loop_
_atom_site_label
_atom_site_fract_x
_atom_site_fract_y
_atom_site_fract_z
Al1 0.250 0.750 0.500
Al2 0.750 0.250 0.500
Mo1 0.000 0.000 0.000
Pb1 0.500 0.500 0.000
```

Density functional theory data (PBE-GGA) for a relaxed AlMoPb2 crystal.

Properties
Formation energy   2.55 eV/f.u.
Energy   -4.860 eV/atom
SG   No. 65

```
data_AlMoPb2
_chemical_formula_sum 'Al1 Mo1 Pb2'
_space_group_name_H-M_alt 'P 1'
_space_group_IT_number 1
_space_group_name_Hall 'P 1'
_cell_length_a 3.148
_cell_length_b 3.148
_cell_length_c 9.984
_cell_angle_alpha 90.00
_cell_angle_beta 90.00
_cell_angle_gamma 109.61
loop_
_atom_site_label
_atom_site_fract_x
_atom_site_fract_y
_atom_site_fract_z
Al1 0.000 0.000 0.000
Mo1 0.000 0.000 0.500
Pb1 0.500 0.500 0.274
Pb2 0.500 0.500 0.726
```

Density functional theory data (PBE-GGA) for a relaxed AlMoPb4 crystal.

Properties
Formation energy   5.58 eV/f.u.
Energy   -3.971 eV/atom
SG   No. 216

```
data_AlMoPb4
_chemical_formula_sum 'Al1 Mo1 Pb4'
_space_group_name_H-M_alt 'P 1'
_space_group_IT_number 1
_space_group_name_Hall 'P 1'
_cell_length_a 6.349
_cell_length_b 6.349
_cell_length_c 6.349
_cell_angle_alpha 60.00
_cell_angle_beta 60.00
_cell_angle_gamma 60.00
loop_
_atom_site_label
_atom_site_fract_x
_atom_site_fract_y
_atom_site_fract_z
Al1 0.000 0.000 0.000
Mo1 0.750 0.750 0.750
Pb1 0.375 0.375 0.375
Pb2 0.375 0.375 0.874
Pb3 0.375 0.874 0.375
Pb4 0.874 0.375 0.375
```